Record 1
{"formula": "KSmP2S7", "functional": "GGA-PBE", "state": "optimized geometry", "lattice": [[9.732, 0.000, 0.000], [0.000, 12.407, 0.000], [-0.030, 0.000, 9.036]], "species": ["K", "K", "K", "K", "Sm", "Sm", "Sm", "Sm", "P", "P", "P", "P", "P", "P", "P", "P", "S", "S", "S", "S", "S", "S", "S", "S", "S", "S", "S", "S", "S", "S", "S", "S", "S", "S", "S", "S", "S", "S", "S", "S", "S", "S", "S", "S"], "fractional_positions": [[0.107, 0.193, 0.131], [0.107, 0.307, 0.631], [0.893, 0.693, 0.369], [0.893, 0.807, 0.869], [0.358, 0.643, 0.606], [0.358, 0.857, 0.106], [0.642, 0.143, 0.894], [0.642, 0.357, 0.394], [0.224, 0.603, 0.977], [0.224, 0.897, 0.477], [0.316, 0.036, 0.803], [0.316, 0.464, 0.303], [0.684, 0.536, 0.697], [0.684, 0.964, 0.197], [0.776, 0.103, 0.523], [0.776, 0.397, 0.023], [0.128, 0.709, 0.112], [0.128, 0.791, 0.612], [0.131, 0.556, 0.788], [0.131, 0.944, 0.288], [0.166, 0.525, 0.431], [0.166, 0.975, 0.931], [0.252, 0.052, 0.578], [0.252, 0.448, 0.078], [0.352, 0.194, 0.854], [0.352, 0.306, 0.354], [0.409, 0.671, 0.925], [0.409, 0.829, 0.425], [0.487, 0.558, 0.322], [0.487, 0.942, 0.822], [0.513, 0.058, 0.178], [0.513, 0.442, 0.678], [0.591, 0.171, 0.575], [0.591, 0.329, 0.075], [0.648, 0.694, 0.646], [0.648, 0.806, 0.146], [0.748, 0.552, 0.922], [0.748, 0.948, 0.422], [0.834, 0.025, 0.069], [0.834, 0.475, 0.569], [0.869, 0.056, 0.712], [0.869, 0.444, 0.212], [0.872, 0.209, 0.388], [0.872, 0.291, 0.888]], "final_energy_ev_per_atom": -5.04, "total_magnetization_mub_per_atom": 0.00}

=====

Record 2
{"formula": "K4ZnP2S8", "functional": "GGA-PBE", "state": "optimized geometry", "lattice": [[6.478, 0.000, 0.000], [0.725, 6.810, 0.000], [1.336, 0.135, 9.098]], "species": ["K", "K", "K", "K", "Zn", "P", "P", "S", "S", "S", "S", "S", "S", "S", "S"], "fractional_positions": [[0.186, 0.154, 0.354], [0.250, 0.727, 0.978], [0.750, 0.273, 0.022], [0.814, 0.846, 0.646], [0.500, 0.500, 0.500], [0.337, 0.227, 0.757], [0.663, 0.773, 0.243], [0.172, 0.443, 0.638], [0.254, 0.250, 0.978], [0.297, 0.960, 0.680], [0.357, 0.699, 0.303], [0.643, 0.301, 0.697], [0.703, 0.040, 0.320], [0.746, 0.750, 0.022], [0.828, 0.557, 0.362]], "final_energy_ev_per_atom": -4.14}